Entry 1:
LiLuAu2 (PBE, relaxed); space-group type = P6_3/mmc (194); E above lowest polymorph = 0 meV per atom
1.0
4.4925 0.0000 0.0000
-2.2462 3.8906 0.0000
0.0000 0.0000 8.9751
Li Lu Au
2 2 4
direct
0.0000 0.0000 0.0000
0.0000 0.0000 0.5000
0.3333 0.6667 0.2500
0.6667 0.3333 0.7500
0.3333 0.6667 0.5861
0.3333 0.6667 0.9139
0.6667 0.3333 0.0861
0.6667 0.3333 0.4139

=====

Entry 2:
LiLuAu2 (PBE, relaxed); space-group type = P6_3/mmc (194); E above lowest polymorph = 146 meV per atom
1.0
4.8292 0.0000 0.0000
-2.4146 4.1822 0.0000
0.0000 0.0000 8.2112
Li Lu Au
2 2 4
direct
0.3333 0.6667 0.2500
0.6667 0.3333 0.7500
0.0000 0.0000 0.0000
0.0000 0.0000 0.5000
0.3333 0.6667 0.5812
0.3333 0.6667 0.9188
0.6667 0.3333 0.0812
0.6667 0.3333 0.4188

=====

Entry 3:
LiLuAu2 (PBE, relaxed); space-group type = F-43m (216); E above lowest polymorph = 171 meV per atom
1.0
0.0000 3.3473 3.3473
3.3473 0.0000 3.3473
3.3473 3.3473 0.0000
Li Lu Au
1 1 2
direct
0.0000 0.0000 0.0000
0.2500 0.2500 0.2500
0.5000 0.5000 0.5000
0.7500 0.7500 0.7500

=====

Entry 4:
LiLuAu2 (PBE, relaxed); space-group type = P6_3/mmc (194); E above lowest polymorph = 359 meV per atom
1.0
4.6746 0.0000 0.0000
-2.3373 4.0483 0.0000
0.0000 0.0000 8.5042
Li Lu Au
2 2 4
direct
0.0000 0.0000 0.2500
0.0000 0.0000 0.7500
0.3333 0.6667 0.2500
0.6667 0.3333 0.7500
0.3333 0.6667 0.5861
0.3333 0.6667 0.9139
0.6667 0.3333 0.0861
0.6667 0.3333 0.4139

=====

Entry 5:
Li2Lu2Pd3Au (PBE, relaxed); VASP energy = -4.72 eV/atom; space-group type = P3m1 (156)
1.0
4.3822 0.0000 0.0000
-2.1911 3.7951 0.0000
0.0000 0.0000 8.8177
Li Lu Pd Au
2 2 3 1
direct
0.0000 0.0000 0.0000
0.0000 0.0000 0.4920
0.3333 0.6667 0.2443
0.6667 0.3333 0.7551
0.3333 0.6667 0.9115
0.6667 0.3333 0.0857
0.6667 0.3333 0.4090
0.3333 0.6667 0.5840

=====

Entry 6:
LiLuPdAu (PBE, relaxed); space-group type = P-6m2 (187); E above lowest polymorph = 6 meV per atom
1.0
4.4055 0.0000 0.0000
-2.2028 3.8153 0.0000
0.0000 0.0000 8.9230
Li Lu Pd Au
2 2 2 2
direct
0.0000 0.0000 0.2425
0.0000 0.0000 0.7575
0.3333 0.6667 0.0000
0.6667 0.3333 0.5000
0.6667 0.3333 0.1604
0.6667 0.3333 0.8396
0.3333 0.6667 0.3326
0.3333 0.6667 0.6674

=====

Entry 7:
LiLuPdAu (PBE, relaxed); space-group type = P-3m1 (164); E above lowest polymorph = 7 meV per atom
1.0
4.4346 0.0000 0.0000
-2.2173 3.8405 0.0000
0.0000 0.0000 8.8773
Li Lu Pd Au
2 2 2 2
direct
0.0000 0.0000 0.0000
0.0000 0.0000 0.5000
0.3333 0.6667 0.2388
0.6667 0.3333 0.7612
0.3333 0.6667 0.9128
0.6667 0.3333 0.0872
0.3333 0.6667 0.5891
0.6667 0.3333 0.4109

=====

Entry 8:
LiLuPdAu (PBE, relaxed); space-group type = P6_3mc (186); E above lowest polymorph = 0 meV per atom
1.0
4.4107 0.0000 0.0000
-2.2053 3.8198 0.0000
0.0000 0.0000 8.9303
Li Lu Pd Au
2 2 2 2
direct
0.0000 0.0000 0.0000
0.0000 0.0000 0.5000
0.3333 0.6667 0.2560
0.6667 0.3333 0.7560
0.3333 0.6667 0.9140
0.6667 0.3333 0.4140
0.3333 0.6667 0.5887
0.6667 0.3333 0.0887

=====

Entry 9:
LiLuTlAu (PBE, relaxed); space-group type = F-43m (216); E above lowest polymorph = 6 meV per atom
1.0
0.0000 3.4157 3.4157
3.4157 0.0000 3.4157
3.4157 3.4157 0.0000
Li Lu Tl Au
1 1 1 1
direct
0.0000 0.0000 0.0000
0.2500 0.2500 0.2500
0.7500 0.7500 0.7500
0.5000 0.5000 0.5000

=====

Entry 10:
LiLuTlAu (PBE, relaxed); space-group type = F-43m (216); E above lowest polymorph = 155 meV per atom
1.0
0.0000 3.4305 3.4305
3.4305 0.0000 3.4305
3.4305 3.4305 0.0000
Li Lu Tl Au
1 1 1 1
direct
0.0000 0.0000 0.0000
0.7500 0.7500 0.7500
0.5000 0.5000 0.5000
0.2500 0.2500 0.2500

=====

Entry 11:
LiLuTlAu (PBE, relaxed); space-group type = F-43m (216); E above lowest polymorph = 0 meV per atom
1.0
0.0000 3.4767 3.4767
3.4767 0.0000 3.4767
3.4767 3.4767 0.0000
Li Lu Tl Au
1 1 1 1
direct
0.0000 0.0000 0.0000
0.5000 0.5000 0.5000
0.2500 0.2500 0.2500
0.7500 0.7500 0.7500

=====

Entry 12:
LiYLuAu (PBE, relaxed); space-group type = F-43m (216); E above lowest polymorph = 226 meV per atom
1.0
0.0000 3.4755 3.4755
3.4755 0.0000 3.4755
3.4755 3.4755 0.0000
Li Y Lu Au
1 1 1 1
direct
0.0000 0.0000 0.0000
0.7500 0.7500 0.7500
0.5000 0.5000 0.5000
0.2500 0.2500 0.2500

=====

Entry 13:
LiYLuAu (PBE, relaxed); space-group type = F-43m (216); E above lowest polymorph = 0 meV per atom
1.0
0.0000 3.5644 3.5644
3.5644 0.0000 3.5644
3.5644 3.5644 0.0000
Li Y Lu Au
1 1 1 1
direct
0.0000 0.0000 0.0000
0.2500 0.2500 0.2500
0.7500 0.7500 0.7500
0.5000 0.5000 0.5000

=====

Entry 14:
LiMgAu (PBE, relaxed); space-group type = P2_1/m (11); E above lowest polymorph = 23 meV per atom
1.0
4.7224 0.0000 0.0000
0.0000 4.7822 0.0000
-2.3593 0.0000 4.5506
Li Mg Au
2 2 2
direct
0.1256 0.2500 0.1371
0.8744 0.7500 0.8629
0.2274 0.7500 0.5265
0.7726 0.2500 0.4735
0.4501 0.2500 0.8110
0.5499 0.7500 0.1890

=====

Entry 15:
LiMg6Au (PBE, relaxed); VASP energy = -1.98 eV/atom; space-group type = P-6m2 (187)
1.0
6.1800 0.0000 0.0000
-3.0900 5.3521 0.0000
0.0000 0.0000 4.8814
Li Mg Au
1 6 1
direct
0.0000 0.0000 0.0000
0.1632 0.3264 0.5000
0.1632 0.8368 0.5000
0.5040 0.0081 0.0000
0.5040 0.4960 0.0000
0.6736 0.8368 0.5000
0.9919 0.4960 0.0000
0.6667 0.3333 0.5000

=====

Entry 16:
LiMgAu (PBE, relaxed); space-group type = Ama2 (40); E above lowest polymorph = 35 meV per atom
1.0
4.8033 0.0000 0.0000
0.0000 2.4740 4.2909
0.0000 -2.4740 4.2909
Li Mg Au
2 2 2
direct
0.2500 0.1937 0.8063
0.7500 0.8063 0.1937
0.2500 0.8834 0.4817
0.7500 0.4817 0.8834
0.2500 0.5427 0.1517
0.7500 0.1517 0.5427

=====

Entry 17:
LiMg2Au5 (PBE, relaxed); VASP energy = -3.15 eV/atom; space-group type = P4/mmm (123)
1.0
4.4866 0.0000 0.0000
0.0000 4.4866 0.0000
0.0000 0.0000 6.8832
Li Mg Au
1 2 5
direct
0.0000 0.0000 0.0000
0.0000 0.0000 0.5000
0.5000 0.5000 0.0000
0.0000 0.5000 0.2322
0.0000 0.5000 0.7678
0.5000 0.0000 0.2322
0.5000 0.0000 0.7678
0.5000 0.5000 0.5000

=====

Entry 18:
LiMg2Au3 (PBE, relaxed); VASP energy = -2.99 eV/atom; space-group type = Pm (6)
1.0
4.9815 0.0000 0.0000
0.0000 4.7991 0.0000
-2.4895 0.0000 4.4043
Li Mg Au
1 2 3
direct
0.0000 0.0000 0.0000
0.2972 0.0000 0.6460
0.6856 0.5000 0.6189
0.0127 0.5000 0.2833
0.3410 0.5000 0.9484
0.6463 0.0000 0.3360

=====

Entry 19:
Li6MgAu (PBE, relaxed); VASP energy = -2.22 eV/atom; space-group type = P4/mmm (123)
1.0
4.4442 0.0000 0.0000
0.0000 4.4442 0.0000
0.0000 0.0000 6.6180
Li Mg Au
6 1 1
direct
0.0000 0.0000 0.0000
0.0000 0.5000 0.2250
0.0000 0.5000 0.7750
0.5000 0.0000 0.2250
0.5000 0.0000 0.7750
0.5000 0.5000 0.5000
0.0000 0.0000 0.5000
0.5000 0.5000 0.0000

=====

Entry 20:
LiMgAu (PBE, relaxed); space-group type = Cm (8); E above lowest polymorph = 0 meV per atom
1.0
3.9448 -2.2727 0.0000
3.9448 2.2727 0.0000
-0.0149 0.0000 5.7230
Li Mg Au
2 2 2
direct
0.0000 0.0000 0.0000
0.6672 0.6672 0.8283
0.0006 0.0006 0.5118
0.3336 0.3336 0.1887
0.3339 0.3339 0.7066
0.6668 0.6668 0.3176

=====

Entry 21:
LiMgAu (PBE, relaxed); space-group type = Amm2 (38); E above lowest polymorph = 69 meV per atom
1.0
4.2280 0.0000 0.0000
0.0000 5.5297 2.2049
0.0000 -5.5297 2.2049
Li Mg Au
2 2 2
direct
0.0000 0.1832 0.8168
0.0000 0.8168 0.1832
0.0000 0.5024 0.5024
0.5000 0.0025 0.0025
0.5000 0.3395 0.6673
0.5000 0.6673 0.3395

=====

Entry 22:
Li2Mg2Tl2NiAu (PBE, relaxed); VASP energy = -2.80 eV/atom; space-group type = P-4m2 (115)
1.0
4.5927 0.0000 0.0000
0.0000 4.5927 0.0000
0.0000 0.0000 6.6755
Li Mg Tl Ni Au
2 2 2 1 1
direct
0.0000 0.0000 0.0000
0.5000 0.5000 0.5000
0.0000 0.5000 0.2428
0.5000 0.0000 0.7572
0.0000 0.5000 0.7766
0.5000 0.0000 0.2234
0.5000 0.5000 0.0000
0.0000 0.0000 0.5000

=====

Entry 23:
Li4MgPbAu2 (PBE, relaxed); VASP energy = -2.86 eV/atom; space-group type = P-4m2 (115)
1.0
4.6180 0.0000 0.0000
0.0000 4.6180 0.0000
0.0000 0.0000 6.5571
Li Mg Pb Au
4 1 1 2
direct
0.0000 0.0000 0.0000
0.0000 0.5000 0.7402
0.5000 0.0000 0.2598
0.5000 0.5000 0.5000
0.0000 0.0000 0.5000
0.5000 0.5000 0.0000
0.0000 0.5000 0.2749
0.5000 0.0000 0.7251

=====

Entry 24:
Li4Mg2PdAu (PBE, relaxed); VASP energy = -2.81 eV/atom; space-group type = P-4m2 (115)
1.0
4.4838 0.0000 0.0000
0.0000 4.4838 0.0000
0.0000 0.0000 6.3731
Li Mg Pd Au
4 2 1 1
direct
0.0000 0.0000 0.0000
0.0000 0.5000 0.2468
0.5000 0.0000 0.7532
0.5000 0.5000 0.5000
0.0000 0.5000 0.7595
0.5000 0.0000 0.2405
0.5000 0.5000 0.0000
0.0000 0.0000 0.5000

=====

Entry 25:
Li2Mg2Tl2PdAu (PBE, relaxed); VASP energy = -2.88 eV/atom; space-group type = P-4m2 (115)
1.0
4.7012 0.0000 0.0000
0.0000 4.7012 0.0000
0.0000 0.0000 6.6753
Li Mg Tl Pd Au
2 2 2 1 1
direct
0.0000 0.0000 0.0000
0.5000 0.5000 0.5000
0.0000 0.5000 0.2448
0.5000 0.0000 0.7552
0.0000 0.5000 0.7602
0.5000 0.0000 0.2398
0.5000 0.5000 0.0000
0.0000 0.0000 0.5000

=====

Entry 26:
Li2Mg2Zn2PdAu (PBE, relaxed); VASP energy = -2.70 eV/atom; space-group type = P-4m2 (115)
1.0
4.4517 0.0000 0.0000
0.0000 4.4517 0.0000
0.0000 0.0000 6.3121
Li Mg Zn Pd Au
2 2 2 1 1
direct
0.0000 0.0000 0.0000
0.5000 0.5000 0.5000
0.0000 0.5000 0.7428
0.5000 0.0000 0.2572
0.0000 0.5000 0.2588
0.5000 0.0000 0.7412
0.0000 0.0000 0.5000
0.5000 0.5000 0.0000